P) {
  "formula": "SrLaAs2",
  "functional": "GGA-PBEsol",
  "state": "optimized geometry",
  "lattice_angstrom": [[4.3546, 0.0000, 0.0000], [0.0000, 4.3546, 0.0000], [0.0000, 0.0000, 6.1612]],
  "species": ["Sr", "As", "As", "La"],
  "frac_coords": [[0.5000, 0.5000, 0.5000], [0.5000, 0.5000, 0.0000], [0.0000, 0.0000, 0.5000], [0.0000, 0.0000, 0.0000]]
}

---

Q) {
  "formula": "SrLaAs2",
  "functional": "GGA-PBEsol",
  "state": "optimized geometry",
  "lattice_angstrom": [[3.6649, 0.0493, 0.0000], [-0.6261, 3.6113, 0.0000], [0.0000, 0.0000, 7.9260]],
  "species": ["Sr", "As", "As", "La"],
  "frac_coords": [[0.5000, 0.5000, 0.0000], [0.0000, 0.0000, 0.2605], [0.0000, 0.0000, 0.7395], [0.5000, 0.5000, 0.5000]]
}

---

Most stable: P). Least stable: Q).

---

P) {
  "formula": "LaTl2As",
  "functional": "GGA-PBEsol",
  "state": "optimized geometry",
  "lattice_angstrom": [[4.0349, 0.0000, 0.0000], [0.0000, 4.6187, 0.0000], [-2.0174, -2.3093, 5.6502]],
  "species": ["Tl", "Tl", "As", "La"],
  "frac_coords": [[0.7743, 0.7743, 0.5486], [0.2257, 0.2257, 0.4514], [0.5000, 0.0000, 0.0000], [0.0000, 0.5000, 0.0000]]
}

---

Q) {
  "formula": "LaTl2As",
  "functional": "GGA-PBEsol",
  "state": "optimized geometry",
  "lattice_angstrom": [[4.0639, 0.0000, 0.0000], [0.0000, 4.0639, 0.0000], [0.0000, 0.0000, 6.9541]],
  "species": ["Tl", "Tl", "As", "La"],
  "frac_coords": [[0.0000, 0.0000, 0.0008], [0.5000, 0.5000, 0.2299], [0.0000, 0.0000, 0.5739], [0.5000, 0.5000, 0.6954]]
}

---

Most stable: P). Least stable: Q).

---

P) {
  "formula": "LiMnAs2",
  "functional": "GGA-PBEsol",
  "state": "optimized geometry",
  "lattice_angstrom": [[2.9063, 0.0368, 0.0000], [-0.6419, 2.8347, 0.0000], [0.0000, 0.0000, 7.3927]],
  "species": ["As", "As", "Li", "Mn"],
  "frac_coords": [[0.0000, 0.0000, 0.2286], [0.0000, 0.0000, 0.7714], [0.5000, 0.5000, 0.5000], [0.5000, 0.5000, 0.0000]]
}

---

Q) {
  "formula": "LiMnAs2",
  "functional": "GGA-PBEsol",
  "state": "optimized geometry",
  "lattice_angstrom": [[2.8744, 0.0000, 0.0000], [0.0000, 2.8744, 0.0000], [0.0000, 0.0000, 6.9850]],
  "species": ["As", "As", "Li", "Mn"],
  "frac_coords": [[0.0000, 0.0000, 0.7090], [0.0000, 0.0000, 0.2910], [0.5000, 0.5000, 0.0000], [0.5000, 0.5000, 0.5000]]
}

---

Most stable: Q). Least stable: P).

---

P) {
  "formula": "Li3AsO",
  "functional": "GGA-PBEsol",
  "state": "optimized geometry",
  "lattice_angstrom": [[4.7243, 0.0000, 0.0000], [0.0000, 4.7243, 0.0000], [0.0000, 0.0000, 4.7243]],
  "species": ["As", "O", "Li", "Li", "Li"],
  "frac_coords": [[0.0000, 0.0000, 0.0000], [0.5000, 0.5000, 0.5000], [0.0000, 0.5000, 0.0000], [0.0000, 0.0000, 0.5000], [0.5000, 0.0000, 0.0000]]
}

---

Q) {
  "formula": "Li3AsO",
  "functional": "GGA-PBEsol",
  "state": "optimized geometry",
  "lattice_angstrom": [[3.8859, 0.0000, 0.0000], [0.0000, 3.8859, 0.0000], [0.0000, 0.0000, 3.8859]],
  "species": ["As", "O", "Li", "Li", "Li"],
  "frac_coords": [[0.5000, 0.5000, 0.5000], [0.0000, 0.0000, 0.0000], [0.0000, 0.5000, 0.0000], [0.0000, 0.0000, 0.5000], [0.5000, 0.0000, 0.0000]]
}

---

Most stable: Q). Least stable: P).

---

P) {
  "formula": "Li3AsO4",
  "functional": "GGA-PBEsol",
  "state": "optimized geometry",
  "lattice_angstrom": [[4.9509, 0.0000, 0.0000], [0.0000, 5.3924, 0.0000], [0.0000, 0.0000, 6.2628]],
  "species": ["As", "As", "Li", "Li", "Li", "Li", "Li", "Li", "O", "O", "O", "O", "O", "O", "O", "O"],
  "frac_coords": [[0.9973, 0.8297, 0.0000], [0.4973, 0.1703, 0.5000], [0.0050, 0.3314, 0.2478], [0.5050, 0.6686, 0.2522], [0.5050, 0.6686, 0.7478], [0.0050, 0.3314, 0.7522], [0.0055, 0.8351, 0.5000], [0.5055, 0.1649, 0.0000], [0.1104, 0.6790, 0.2241], [0.6104, 0.3210, 0.2759], [0.6104, 0.3210, 0.7241], [0.1104, 0.6790, 0.7759], [0.1085, 0.1307, 0.0000], [0.6085, 0.8693, 0.5000], [0.1511, 0.1750, 0.5000], [0.6511, 0.8250, 0.0000]]
}

---

Q) {
  "formula": "Li3AsO4",
  "functional": "GGA-PBEsol",
  "state": "optimized geometry",
  "lattice_angstrom": [[5.0616, 0.0000, 0.0000], [0.0000, 6.2848, 0.0000], [0.0000, 0.0000, 10.7862]],
  "species": ["Li", "Li", "Li", "Li", "Li", "Li", "Li", "Li", "Li", "Li", "Li", "Li", "As", "As", "As", "As", "O", "O", "O", "O", "O", "O", "O", "O", "O", "O", "O", "O", "O", "O", "O", "O"],
  "frac_coords": [[0.3098, 0.9962, 0.1659], [0.1902, 0.5038, 0.6659], [0.6902, 0.4962, 0.8341], [0.8098, 0.0038, 0.3341], [0.6902, 0.0038, 0.8341], [0.8098, 0.4962, 0.3341], [0.3098, 0.5038, 0.1659], [0.1902, 0.9962, 0.6659], [0.1948, 0.7500, 0.4217], [0.3052, 0.7500, 0.9217], [0.8052, 0.2500, 0.5783], [0.6948, 0.2500, 0.0783], [0.3131, 0.2500, 0.4134], [0.1869, 0.2500, 0.9134], [0.6869, 0.7500, 0.5866], [0.8131, 0.7500, 0.0866], [0.2984, 0.2500, 0.0628], [0.2016, 0.2500, 0.5628], [0.7016, 0.7500, 0.9372], [0.7984, 0.7500, 0.4372], [0.2030, 0.4721, 0.3374], [0.2970, 0.0279, 0.8374], [0.7970, 0.9721, 0.6626], [0.7030, 0.5279, 0.1626], [0.7970, 0.5279, 0.6626], [0.7030, 0.9721, 0.1626], [0.2030, 0.0279, 0.3374], [0.2970, 0.4721, 0.8374], [0.1526, 0.7500, 0.0869], [0.3474, 0.7500, 0.5869], [0.8474, 0.2500, 0.9131], [0.6526, 0.2500, 0.4131]]
}

---

Most stable: P). Least stable: Q).

---

P) {
  "formula": "LiAs2Os",
  "functional": "GGA-PBEsol",
  "state": "optimized geometry",
  "lattice_angstrom": [[5.9391, 0.0000, 0.0000], [-2.9696, 6.0410, 0.0174], [0.0000, 2.9046, 5.1804]],
  "species": ["As", "As", "As", "As", "Os", "Os", "Li", "Li"],
  "frac_coords": [[0.0798, 0.7500, 0.8750], [0.6702, 0.7500, 0.3750], [0.3750, 0.2500, 0.0798], [0.8750, 0.2500, 0.6702], [0.7500, 0.5000, 0.7500], [0.0000, 0.0000, 0.0000], [0.2500, 0.5000, 0.2500], [0.5000, 0.0000, 0.5000]]
}

---

Q) {
  "formula": "LiAs2Os",
  "functional": "GGA-PBEsol",
  "state": "optimized geometry",
  "lattice_angstrom": [[2.9898, 0.0000, 0.0000], [0.0000, 2.9898, 0.0000], [0.0000, 0.0000, 6.9805]],
  "species": ["As", "As", "Li", "Os"],
  "frac_coords": [[0.0000, 0.0000, 0.7242], [0.0000, 0.0000, 0.2758], [0.5000, 0.5000, 0.0000], [0.5000, 0.5000, 0.5000]]
}

---

Most stable: Q). Least stable: P).

---

P) {
  "formula": "Li2AsOs",
  "functional": "GGA-PBEsol",
  "state": "optimized geometry",
  "lattice_angstrom": [[3.4051, 0.0000, 0.0000], [0.0000, 3.9084, 0.0000], [-1.7025, -1.9542, 3.7097]],
  "species": ["As", "Li", "Li", "Os"],
  "frac_coords": [[0.2527, 0.7527, 0.5054], [0.0070, 0.0070, 0.0141], [0.7414, 0.2414, 0.4828], [0.4989, 0.4989, 0.9977]]
}

---

Q) {
  "formula": "Li2AsOs",
  "functional": "GGA-PBEsol",
  "state": "optimized geometry",
  "lattice_angstrom": [[-2.5943, -0.4212, 1.3748], [2.9224, -3.2648, 1.3146], [0.6747, 3.9330, 2.4781]],
  "species": ["As", "Li", "Li", "Os"],
  "frac_coords": [[0.7556, 0.5112, 0.3577], [0.0121, 0.0241, 0.9368], [0.2504, 0.5008, 0.8037], [0.4819, 0.9638, 0.4019]]
}

---

Most stable: Q). Least stable: P).

---

P) {
  "formula": "LiAsP",
  "functional": "GGA-PBEsol",
  "state": "optimized geometry",
  "lattice_angstrom": [[-0.0228, 0.1407, 2.6157], [1.1600, -3.9364, 0.2218], [4.0907, 3.2690, -1.4520]],
  "species": ["P", "As", "Li"],
  "frac_coords": [[0.2770, 0.2770, 0.5540], [0.0370, 0.0370, 0.0740], [0.6860, 0.6860, 0.3720]]
}

---

Q) {
  "formula": "LiAsP",
  "functional": "GGA-PBEsol",
  "state": "optimized geometry",
  "lattice_angstrom": [[-1.0129, 0.1163, 2.5380], [0.8536, -2.3884, -1.0236], [6.7435, 1.2820, 2.6324]],
  "species": ["P", "As", "Li"],
  "frac_coords": [[0.6667, 0.3333, 0.3793], [0.0000, 0.0000, 0.9636], [0.3333, 0.6667, 0.6571]]
}

---

Most stable: P). Least stable: Q).

---

P) {
  "formula": "Li2As2Pb",
  "functional": "GGA-PBEsol",
  "state": "optimized geometry",
  "lattice_angstrom": [[-3.1556, -2.9200, 0.2996], [2.7537, -3.0972, -1.1823], [1.4429, 2.1846, 5.4923]],
  "species": ["Pb", "As", "As", "Li", "Li"],
  "frac_coords": [[0.0000, 0.0000, 0.0000], [0.3842, 0.3842, 0.7684], [0.6158, 0.6158, 0.2316], [0.2500, 0.7500, 0.5000], [0.7500, 0.2500, 0.5000]]
}

---

Q) {
  "formula": "Li2As2Pb",
  "functional": "GGA-PBEsol",
  "state": "optimized geometry",
  "lattice_angstrom": [[2.9121, 0.0000, 0.0000], [0.0000, 8.1290, 0.0000], [0.0000, 0.0000, 8.1290]],
  "species": ["Pb", "Pb", "As", "As", "As", "As", "Li", "Li", "Li", "Li"],
  "frac_coords": [[0.0000, 0.0000, 0.0000], [0.0000, 0.5000, 0.5000], [0.0000, 0.3285, 0.8285], [0.0000, 0.8285, 0.6715], [0.0000, 0.6715, 0.1715], [0.0000, 0.1715, 0.3285], [0.5000, 0.1226, 0.6226], [0.5000, 0.6226, 0.8774], [0.5000, 0.8774, 0.3774], [0.5000, 0.3774, 0.1226]]
}

---

Most stable: P). Least stable: Q).

---

P) {
  "formula": "LiReAs",
  "functional": "GGA-PBEsol",
  "state": "optimized geometry",
  "lattice_angstrom": [[-4.0261, 0.0055, -0.0379], [-1.9818, -0.6667, -3.4408], [-2.0129, -3.4467, -0.5285]],
  "species": ["Re", "As", "Li"],
  "frac_coords": [[0.5000, 0.5000, 0.5000], [0.7500, 0.7500, 0.7500], [0.0000, 0.0000, 0.0000]]
}

---

Q) {
  "formula": "LiReAs",
  "functional": "GGA-PBEsol",
  "state": "optimized geometry",
  "lattice_angstrom": [[4.0746, 0.0000, 0.0000], [2.0373, 3.5287, 0.0000], [2.0373, 1.1762, 3.3269]],
  "species": ["Re", "As", "Li"],
  "frac_coords": [[0.7500, 0.7500, 0.7500], [0.0000, 0.0000, 0.0000], [0.5000, 0.5000, 0.5000]]
}

---

Most stable: P). Least stable: Q).

---

P) {
  "formula": "Li2SbAs2",
  "functional": "GGA-PBEsol",
  "state": "optimized geometry",
  "lattice_angstrom": [[-0.9208, -0.4802, -2.7161], [-7.3935, -1.2294, 2.7238], [-1.5981, 7.7684, -0.8316]],
  "species": ["Sb", "Sb", "As", "As", "As", "As", "Li", "Li", "Li", "Li"],
  "frac_coords": [[0.0000, 0.0000, 0.0000], [0.0000, 0.5000, 0.5000], [0.0000, 0.3199, 0.8199], [0.0000, 0.8199, 0.6801], [0.0000, 0.6801, 0.1801], [0.0000, 0.1801, 0.3199], [0.5000, 0.1192, 0.6192], [0.5000, 0.6192, 0.8808], [0.5000, 0.8808, 0.3808], [0.5000, 0.3808, 0.1192]]
}

---

Q) {
  "formula": "Li2SbAs2",
  "functional": "GGA-PBEsol",
  "state": "optimized geometry",
  "lattice_angstrom": [[4.2745, 0.0000, 0.0000], [0.0000, 4.2745, 0.0000], [-2.1372, -2.1372, 5.1400]],
  "species": ["Sb", "As", "As", "Li", "Li"],
  "frac_coords": [[0.0000, 0.0000, 0.0000], [0.3853, 0.3853, 0.7706], [0.6147, 0.6147, 0.2294], [0.2500, 0.7500, 0.5000], [0.7500, 0.2500, 0.5000]]
}

---

Most stable: P). Least stable: Q).

---

P) {
  "formula": "LiScAs2",
  "functional": "GGA-PBEsol",
  "state": "optimized geometry",
  "lattice_angstrom": [[4.6438, 0.0000, 0.0000], [2.3219, 4.0216, 0.0000], [2.3219, 1.3405, 3.7916]],
  "species": ["Sc", "As", "As", "Li"],
  "frac_coords": [[0.5000, 0.5000, 0.5000], [0.2500, 0.2500, 0.2500], [0.7500, 0.7500, 0.7500], [0.0000, 0.0000, 0.0000]]
}

---

Q) {
  "formula": "LiScAs2",
  "functional": "GGA-PBEsol",
  "state": "optimized geometry",
  "lattice_angstrom": [[2.8890, 0.0000, 0.0000], [0.0000, 4.9204, 0.0000], [0.0000, 0.0000, 4.9204]],
  "species": ["Sc", "As", "As", "Li"],
  "frac_coords": [[0.3727, 0.5000, 0.5000], [0.8724, 0.0000, 0.5000], [0.8724, 0.5000, 0.0000], [0.3724, 0.0000, 0.0000]]
}

---

Most stable: Q). Least stable: P).